# Fe3PbF

An optimized crystal structure of Fe3PbF (PBE+U, Alexandria via LeMat-Bulk).

## Properties
- magnetic moment (μB per cell) = 11.000
- SG = No. 221
- energy above the lowest structure with this stoichiometry (meV/atom) = 449.2
- density of states at the Fermi level (states/eV/cell) = 14.97

The structure in POSCAR format:
```
Fe3PbF
1.0
5.2648 0.0000 0.0000
0.0000 5.2648 0.0000
0.0000 0.0000 5.2648
Fe Pb F
3 1 1
direct
0.5000 0.0000 0.0000
0.0000 0.5000 0.0000
0.0000 0.0000 0.5000
0.0000 0.0000 0.0000
0.5000 0.5000 0.5000
```